[1]
DFT (GGA-PBE) results for a relaxed structure of DyHoEr2S6.

POSCAR file:
```
DyHoEr2S6
1.0
3.4339 1.9826 6.1438
-3.4339 1.9826 6.1438
0.0000 -3.9651 6.1438
Dy Ho Er S
1 1 2 6
Direct
0.0000 0.0000 0.0000 Dy
0.4994 0.4994 0.4994 Ho
0.2992 0.2992 0.2992 Er
0.7996 0.7996 0.7996 Er
0.0960 0.6972 0.4032 S
0.1992 0.5954 0.9014 S
0.4032 0.0960 0.6972 S
0.5954 0.9014 0.1992 S
0.6972 0.4032 0.0960 S
0.9014 0.1992 0.5954 S
```

- Crystal system: trigonal
- Total magnetic moment: 0.0 μB/f.u.
- Symmetry: R3 (146)
- Formation energy without anion corrections: -2.063 eV/atom

***

[2]
DFT (GGA-PBE) results for a relaxed structure of Np3Si2Pt3.

POSCAR file:
```
Np3Si2Pt3
1.0
7.7738 0.0000 0.0000
0.0000 14.7094 0.0000
0.0000 0.0000 5.5446
Np Si Pt
12 8 12
Direct
0.0346 0.1108 0.1296 Np
0.0346 0.3892 0.1296 Np
0.1723 0.2500 0.6015 Np
0.3277 0.7500 0.1015 Np
0.4654 0.6108 0.6296 Np
0.4654 0.8892 0.6296 Np
0.5346 0.1108 0.3704 Np
0.5346 0.3892 0.3704 Np
0.6723 0.2500 0.8985 Np
0.8277 0.7500 0.3985 Np
0.9654 0.6108 0.8704 Np
0.9654 0.8892 0.8704 Np
0.1185 0.6062 0.3596 Si
0.1185 0.8938 0.3596 Si
0.3815 0.1062 0.8596 Si
0.3815 0.3938 0.8596 Si
0.6185 0.6062 0.1404 Si
0.6185 0.8938 0.1404 Si
0.8815 0.1062 0.6404 Si
0.8815 0.3938 0.6404 Si
0.1720 0.0348 0.6007 Pt
0.1720 0.4652 0.6007 Pt
0.1854 0.7500 0.6088 Pt
0.3146 0.2500 0.1088 Pt
0.3280 0.5348 0.1007 Pt
0.3280 0.9652 0.1007 Pt
0.6720 0.0348 0.8993 Pt
0.6720 0.4652 0.8993 Pt
0.6854 0.7500 0.8912 Pt
0.8146 0.2500 0.3912 Pt
0.8280 0.5348 0.3993 Pt
0.8280 0.9652 0.3993 Pt
```

- Crystal system: orthorhombic
- Total magnetic moment: 12.4 μB/f.u.
- Symmetry: Pnma (62)
- Formation energy without anion corrections: -0.567 eV/atom

***

[3]
DFT (GGA-PBE) results for a relaxed structure of EuErIn4.

POSCAR file:
```
EuErIn4
1.0
0.0000 4.2937 4.2937
4.2937 0.0000 4.2937
4.2937 4.2937 0.0000
Eu Er In
1 1 4
Direct
0.0000 0.0000 0.0000 Eu
0.2500 0.2500 0.2500 Er
0.1254 0.6249 0.6249 In
0.6249 0.1254 0.6249 In
0.6249 0.6249 0.1254 In
0.6249 0.6249 0.6249 In
```

- Crystal system: cubic
- Total magnetic moment: 7.6 μB/f.u.
- Symmetry: F-43m (216)
- DFT formation energy: -0.329 eV/atom

***

[4]
DFT (GGA-PBE) results for a relaxed structure of Ac3Pb5O12.

POSCAR file:
```
Ac3Pb5O12
1.0
-7.1263 7.1263 7.1263
7.1263 -7.1263 7.1263
7.1263 7.1263 -7.1263
Ac Pb O
12 20 48
Direct
0.1250 0.2500 0.3750 Ac
0.1250 0.3750 0.7500 Ac
0.2500 0.3750 0.1250 Ac
0.2500 0.8750 0.6250 Ac
0.3750 0.1250 0.2500 Ac
0.3750 0.7500 0.1250 Ac
0.6250 0.2500 0.8750 Ac
0.6250 0.8750 0.7500 Ac
0.7500 0.1250 0.3750 Ac
0.7500 0.6250 0.8750 Ac
0.8750 0.6250 0.2500 Ac
0.8750 0.7500 0.6250 Ac
0.0000 0.0000 0.0000 Pb
0.0000 0.0000 0.5000 Pb
0.0000 0.5000 0.0000 Pb
0.0000 0.5000 0.5000 Pb
0.1250 0.7500 0.8750 Pb
0.1250 0.8750 0.2500 Pb
0.2500 0.1250 0.8750 Pb
0.2500 0.6250 0.3750 Pb
0.3750 0.2500 0.6250 Pb
0.3750 0.6250 0.7500 Pb
0.5000 0.0000 0.0000 Pb
0.5000 0.0000 0.5000 Pb
0.5000 0.5000 0.0000 Pb
0.5000 0.5000 0.5000 Pb
0.6250 0.3750 0.2500 Pb
0.6250 0.7500 0.3750 Pb
0.7500 0.3750 0.6250 Pb
0.7500 0.8750 0.1250 Pb
0.8750 0.1250 0.7500 Pb
0.8750 0.2500 0.1250 Pb
0.0420 0.2057 0.1274 O
0.0420 0.3363 0.9146 O
0.0783 0.7057 0.6637 O
0.0783 0.8726 0.4146 O
0.0854 0.6274 0.4217 O
0.0854 0.9580 0.6637 O
0.1274 0.0420 0.2057 O
0.1274 0.5854 0.9217 O
0.1637 0.2057 0.5783 O
0.1637 0.4580 0.5854 O
0.2057 0.1274 0.0420 O
0.2057 0.5783 0.1637 O
0.2943 0.3363 0.9217 O
0.2943 0.4580 0.3726 O
0.3363 0.9146 0.0420 O
0.3363 0.9217 0.2943 O
0.3726 0.2943 0.4580 O
0.3726 0.5783 0.9146 O
0.4146 0.0783 0.8726 O
0.4146 0.8363 0.5420 O
0.4217 0.0854 0.6274 O
0.4217 0.8363 0.7943 O
0.4580 0.3726 0.2943 O
0.4580 0.5854 0.1637 O
0.5420 0.4146 0.8363 O
0.5420 0.6274 0.7057 O
0.5783 0.1637 0.2057 O
0.5783 0.9146 0.3726 O
0.5854 0.1637 0.4580 O
0.5854 0.9217 0.1274 O
0.6274 0.4217 0.0854 O
0.6274 0.7057 0.5420 O
0.6637 0.0783 0.7057 O
0.6637 0.0854 0.9580 O
0.7057 0.5420 0.6274 O
0.7057 0.6637 0.0783 O
0.7943 0.4217 0.8363 O
0.7943 0.8726 0.9580 O
0.8363 0.5420 0.4146 O
0.8363 0.7943 0.4217 O
0.8726 0.4146 0.0783 O
0.8726 0.9580 0.7943 O
0.9146 0.0420 0.3363 O
0.9146 0.3726 0.5783 O
0.9217 0.1274 0.5854 O
0.9217 0.2943 0.3363 O
0.9580 0.6637 0.0854 O
0.9580 0.7943 0.8726 O
```

- Crystal system: cubic
- Total magnetic moment: 0.0 μB/f.u.
- Symmetry: Ia-3d (230)
- Formation energy without anion corrections: -1.806 eV/atom

***

[5]
DFT (GGA-PBE) results for a relaxed structure of V2CuAu.

POSCAR file:
```
V2CuAu
1.0
-3.5247 3.5247 2.4681
3.5247 -3.5247 2.4681
3.5247 3.5247 -2.4681
V Cu Au
4 2 2
Direct
0.1084 0.6250 0.9834 V
0.3750 0.3584 0.4834 V
0.6416 0.1250 0.0166 V
0.8750 0.8916 0.5166 V
0.0000 0.0000 0.0000 Cu
0.7500 0.2500 0.5000 Cu
0.2500 0.7500 0.5000 Au
0.5000 0.5000 0.0000 Au
```

- Crystal system: tetragonal
- Total magnetic moment: 0.0 μB/f.u.
- Symmetry: I-42d (122)
- DFT formation energy: 0.514 eV/atom

***

[6]
DFT (GGA-PBE) results for a relaxed structure of Ca2Co2As2N.

POSCAR file:
```
Ca2Co2As2N
1.0
5.5171 -1.9169 0.0000
5.5171 1.9169 0.0000
-3.9360 0.0000 5.5787
Ca Co As N
2 2 2 1
Direct
0.0570 0.0570 0.2928 Ca
0.9430 0.9430 0.7072 Ca
0.3206 0.3206 0.9323 Co
0.6794 0.6794 0.0677 Co
0.3214 0.3214 0.2787 As
0.6786 0.6786 0.7213 As
0.5000 0.5000 0.0000 N
```

- Crystal system: monoclinic
- Total magnetic moment: 0.0 μB/f.u.
- Symmetry: C2/m (12)
- Formation energy without anion corrections: -0.716 eV/atom

***

[7]
DFT (GGA-PBE) results for a relaxed structure of LiIrBr2.

POSCAR file:
```
LiIrBr2
1.0
-2.5995 2.5995 7.1565
2.5995 -2.5995 7.1565
2.5995 2.5995 -7.1565
Li Ir Br
2 2 4
Direct
0.0000 0.0000 0.0000 Li
0.7500 0.2500 0.5000 Li
0.2500 0.7500 0.5000 Ir
0.5000 0.5000 0.0000 Ir
0.1508 0.6250 0.0258 Br
0.3750 0.4008 0.5258 Br
0.5992 0.1250 0.9742 Br
0.8750 0.8492 0.4742 Br
```

- Crystal system: tetragonal
- Total magnetic moment: 0.0 μB/f.u.
- Distance to the lowest polymorph of the same formula: 329 meV per atom
- Symmetry: I-42d (122)
- Formation energy without anion corrections: 0.011 eV/atom

***

[8]
DFT (GGA-PBE) results for a relaxed structure of Cu12Pd2Au5.

POSCAR file:
```
Cu12Pd2Au5
1.0
6.5605 -4.4351 0.0000
6.5605 4.4351 0.0000
-0.9835 0.0000 4.6308
Cu Pd Au
12 2 5
Direct
0.0555 0.0555 0.3095 Cu
0.0550 0.5382 0.8015 Cu
0.1446 0.6525 0.4154 Cu
0.3475 0.8554 0.5846 Cu
0.3890 0.3890 0.9770 Cu
0.4618 0.9450 0.1985 Cu
0.5382 0.0550 0.8015 Cu
0.6110 0.6110 0.0230 Cu
0.6525 0.1446 0.4154 Cu
0.8554 0.3475 0.5846 Cu
0.9450 0.4618 0.1985 Cu
0.9445 0.9445 0.6905 Cu
0.2481 0.7519 0.0000 Pd
0.7519 0.2481 0.0000 Pd
0.1561 0.1561 0.8798 Au
0.2788 0.2788 0.4425 Au
0.5000 0.5000 0.5000 Au
0.7212 0.7212 0.5575 Au
0.8439 0.8439 0.1202 Au
```

- Crystal system: monoclinic
- Total magnetic moment: 0.0 μB/f.u.
- Symmetry: C2/m (12)
- DFT formation energy: -0.006 eV/atom

***

[9]
DFT (GGA-PBE) results for a relaxed structure of MgNiTe.

POSCAR file:
```
MgNiTe
1.0
8.8584 0.0000 0.0000
0.0000 4.2282 0.0000
0.0000 0.0000 6.1813
Mg Ni Te
4 4 4
Direct
0.1264 0.2500 0.2272 Mg
0.3736 0.7500 0.7272 Mg
0.6264 0.2500 0.2728 Mg
0.8736 0.7500 0.7728 Mg
0.1022 0.7500 0.5165 Ni
0.3978 0.2500 0.0165 Ni
0.6022 0.7500 0.9835 Ni
0.8978 0.2500 0.4835 Ni
0.1378 0.2500 0.7585 Te
0.3622 0.7500 0.2585 Te
0.6378 0.2500 0.7415 Te
0.8622 0.7500 0.2415 Te
```

- Crystal system: orthorhombic
- Total magnetic moment: 0.0 μB/f.u.
- Symmetry: Pnma (62)
- Formation energy without anion corrections: -0.385 eV/atom

***

[10]
DFT (GGA-PBE) results for a relaxed structure of Rb2Cd15Ga2.

POSCAR file:
```
Rb2Cd15Ga2
1.0
5.2629 3.0385 5.0210
-5.2629 3.0385 5.0210
0.0000 -6.0771 5.0210
Rb Cd Ga
2 15 2
Direct
0.1643 0.1643 0.1643 Rb
0.8357 0.8357 0.8357 Rb
0.0000 0.5000 0.5000 Cd
0.1471 0.1471 0.6590 Cd
0.1471 0.6590 0.1471 Cd
0.2034 0.5000 0.7966 Cd
0.2034 0.7966 0.5000 Cd
0.3410 0.8529 0.8529 Cd
0.5000 0.0000 0.5000 Cd
0.5000 0.2034 0.7966 Cd
0.5000 0.5000 0.0000 Cd
0.5000 0.7966 0.2034 Cd
0.6590 0.1471 0.1471 Cd
0.7966 0.2034 0.5000 Cd
0.7966 0.5000 0.2034 Cd
0.8529 0.3410 0.8529 Cd
0.8529 0.8529 0.3410 Cd
0.4073 0.4073 0.4073 Ga
0.5927 0.5927 0.5927 Ga
```

- Crystal system: trigonal
- Total magnetic moment: 0.0 μB/f.u.
- Symmetry: R-3m (166)
- DFT formation energy: -0.025 eV/atom

***

[11]
DFT (GGA-PBE) results for a relaxed structure of Pr3YFe.

POSCAR file:
```
Pr3YFe
1.0
5.4292 0.0000 0.0000
0.0000 5.4292 0.0000
0.0000 0.0000 5.4292
Pr Y Fe
3 1 1
Direct
0.0000 0.0000 0.5000 Pr
0.0000 0.5000 0.0000 Pr
0.5000 0.0000 0.0000 Pr
0.5000 0.5000 0.5000 Y
0.0000 0.0000 0.0000 Fe
```

- Crystal system: cubic
- Total magnetic moment: 0.0 μB/f.u.
- Symmetry: Pm-3m (221)
- DFT formation energy: 0.220 eV/atom

***

[12]
DFT (GGA-PBE) results for a relaxed structure of FeRe2Si.

POSCAR file:
```
FeRe2Si
1.0
-1.4759 2.1013 4.2136
1.4759 -2.1013 4.2136
1.4759 2.1013 -4.2136
Fe Re Si
1 2 1
Direct
0.0000 0.0000 0.0000 Fe
0.2650 0.7650 0.5000 Re
0.5349 0.5349 0.0000 Re
0.7810 0.2810 0.5000 Si
```

- Crystal system: orthorhombic
- Total magnetic moment: 1.4 μB/f.u.
- Symmetry: Imm2 (44)
- Formation energy without anion corrections: -0.146 eV/atom

***

Q: Which of these has the highest total magnetic moment?
A: Np3Si2Pt3